No. 1
## KIrAu (PBE-GGA)

Data for a relaxed KIrAu crystal.

Unit cell a=2.8650 b=2.8650 c=8.1397 alpha=90.00 beta=90.00 gamma=120.00
With the nearest neighbours (Å) after each atom.
Space group P3m1 (No. 156)
One atom of each set of equivalent atoms:
K: 0.0000 0.0000 0.0000 (multiplicity 1)  6 K 2.87
Ir: 0.3333 0.6667 0.6612 (multiplicity 1)  6 Ir 2.87, 3 Au 2.98
Au: 0.6667 0.3333 0.3560 (multiplicity 1)  6 Au 2.87, 3 Ir 2.98

Properties
- Energy above the lowest structure with this stoichiometry: 48.5 kJ per mole of atoms
- ΔE_f: 609 meV/atom



No. 2
## WC3I (PBE-GGA)

Data for a relaxed WC3I crystal.

Unit cell a=4.0239 b=4.0239 c=4.0239 alpha=90.00 beta=90.00 gamma=90.00
With the nearest neighbours (Å) after each atom.
Space group Pm-3m (No. 221)
One atom of each set of equivalent atoms:
W: 0.0000 0.0000 0.0000 (multiplicity 1)  12 C 2.85
C: 0.0000 0.5000 0.5000 (multiplicity 3)  2 I 2.01
I: 0.5000 0.5000 0.5000 (multiplicity 1)  6 C 2.01

Properties
- Energy above the lowest structure with this stoichiometry: 145.1 kJ per mole of atoms
- Formation energy without anion corrections: 18.3 eV/f.u.



No. 3
## DyScZn6 (PBE-GGA)

Data for a relaxed DyScZn6 crystal.

Unit cell a=4.2574 b=5.7384 c=5.8776 alpha=90.00 beta=90.00 gamma=90.00
With the nearest neighbours (Å) after each atom.
Space group Pmm2 (No. 25)
One atom of each set of equivalent atoms:
Dy: 0.0000 0.0000 0.0000 (multiplicity 1)  10 Zn 2.99-3.09
Sc: 0.5000 0.5000 0.1966 (multiplicity 1)  10 Zn 2.93-3.04
Zn: 0.0000 0.2599 0.4611 (multiplicity 2)  6 Zn 2.66-2.76, 2 Sc 2.97
Zn: 0.0000 0.5000 0.8539 (multiplicity 1)  6 Zn 2.63-2.69, 2 Sc 2.93
Zn: 0.5000 0.0000 0.3651 (multiplicity 1)  6 Zn 2.64-2.66
Zn: 0.5000 0.2612 0.7342 (multiplicity 2)  6 Zn 2.63-2.74

Properties
- ΔE_f: -294 meV/atom



No. 4
## Na2HfTiO (PBE-GGA)

Data for a relaxed Na2HfTiO crystal.

Unit cell a=5.9966 b=5.9966 c=3.6091 alpha=90.00 beta=90.00 gamma=90.00
With the nearest neighbours (Å) after each atom.
Space group P4/mmm (No. 123)
One atom of each set of equivalent atoms:
Na: 0.0000 0.5000 0.0000 (multiplicity 2)  2 Ti 3.00
Hf: 0.0000 0.0000 0.5000 (multiplicity 1)  8 Na 3.50, 2 Hf 3.61
Ti: 0.5000 0.5000 0.0000 (multiplicity 1)  2 O 1.80
O: 0.5000 0.5000 0.5000 (multiplicity 1)  2 Ti 1.80

Properties
- Formation energy without anion corrections: 1.0 eV/f.u.



No. 5
## Li3CeSm2Te6 (PBE-GGA)

Data for a relaxed Li3CeSm2Te6 crystal.

Unit cell a=7.6839 b=13.3108 c=7.5255 alpha=90.00 beta=109.87 gamma=90.00
With the nearest neighbours (Å) after each atom.
Space group C2/m (No. 12)
One atom of each set of equivalent atoms:
Li: 0.0000 0.0000 0.0000 (multiplicity 2)  6 Te 3.05-3.08
Li: 0.0000 0.3319 0.0000 (multiplicity 4)  6 Te 3.04-3.09
Ce: 0.0000 0.5000 0.5000 (multiplicity 2)  6 Te 3.18
Sm: 0.0000 0.1665 0.5000 (multiplicity 4)  6 Te 3.15
Te: 0.2451 0.1682 0.2394 (multiplicity 8)  3 Li 3.04-3.08, 2 Sm 3.15, 1 Ce 3.18
Te: 0.2494 0.5000 0.2390 (multiplicity 4)  3 Li 3.05-3.09, 2 Sm 3.15, 1 Ce 3.18

Properties
- Formation energy without anion corrections: -15.3 eV/f.u.



No. 6
## Dy3PdPb2 (PBE-GGA)

Data for a relaxed Dy3PdPb2 crystal.

Unit cell a=12.3062 b=4.5665 c=11.6505 alpha=90.00 beta=90.00 gamma=90.00
With the nearest neighbours (Å) after each atom.
Space group Pnma (No. 62)
One atom of each set of equivalent atoms:
Dy: 0.0535 0.2500 0.1318 (multiplicity 4)  1 Pd 2.95, 5 Pb 3.15-3.31
Dy: 0.1260 0.7500 0.5547 (multiplicity 4)  3 Pd 3.10-3.17, 5 Pb 3.16-3.34, 1 Dy 3.43
Dy: 0.2369 0.2500 0.7982 (multiplicity 4)  2 Pd 3.00, 2 Pb 3.13-3.29
Pd: 0.1229 0.2500 0.3745 (multiplicity 4)  3 Pb 2.84-2.87, 6 Dy 2.95-3.17
Pb: 0.0037 0.2500 0.6909 (multiplicity 4)  2 Pd 2.87, 5 Dy 3.13-3.16
Pb: 0.1820 0.7500 0.0049 (multiplicity 4)  1 Pd 2.84, 2 Dy 3.15

Properties
- ΔE_f: -616 meV/atom



No. 7
## PmTi2FeN4 (PBE-GGA)

Data for a relaxed PmTi2FeN4 crystal.

Unit cell a=3.1410 b=10.7012 c=10.5339 alpha=90.00 beta=90.00 gamma=90.00
With the nearest neighbours (Å) after each atom.
Space group Cmcm (No. 63)
One atom of each set of equivalent atoms:
Pm: 0.0000 0.1035 0.2500 (multiplicity 4)  6 N 2.42-2.56
Ti: 0.0000 0.3683 0.0453 (multiplicity 8)  3 N 1.97-2.16
Fe: 0.0000 0.1598 0.7500 (multiplicity 4)  4 N 1.85-1.86
N: 0.0000 0.0000 0.0000 (multiplicity 4)  4 Ti 2.16
N: 0.0000 0.2670 0.6110 (multiplicity 8)  1 Fe 1.86, 1 Ti 1.97
N: 0.0000 0.4309 0.2500 (multiplicity 4)  2 Fe 1.85

Properties
- Formation energy without anion corrections: -9.4 eV/f.u.



No. 8
## Sr2YTaTl (PBE-GGA)

Data for a relaxed Sr2YTaTl crystal.

Unit cell a=6.0419 b=6.0419 c=5.4734 alpha=90.00 beta=90.00 gamma=90.00
With the nearest neighbours (Å) after each atom.
Space group P4/mmm (No. 123)
One atom of each set of equivalent atoms:
Sr: 0.0000 0.5000 0.0000 (multiplicity 2)  2 Tl 3.02
Y: 0.0000 0.0000 0.5000 (multiplicity 1)  8 Sr 4.08, 4 Ta 4.27
Ta: 0.5000 0.5000 0.5000 (multiplicity 1)  2 Tl 2.74
Tl: 0.5000 0.5000 0.0000 (multiplicity 1)  2 Ta 2.74, 4 Sr 3.02

Properties
- ΔE_f: 971 meV/atom



No. 9
## PmDy3Pd3 (PBE-GGA)

Data for a relaxed PmDy3Pd3 crystal.

Unit cell a=9.2802 b=10.5270 c=7.1226 alpha=90.00 beta=91.65 gamma=90.00
With the nearest neighbours (Å) after each atom.
Space group C2/m (No. 12)
One atom of each set of equivalent atoms:
Pm: 0.2343 0.0000 0.3767 (multiplicity 4)  4 Pd 2.86-3.10
Dy: 0.0000 0.2533 0.5000 (multiplicity 4)  6 Pd 3.01-3.05
Dy: 0.0000 0.3222 0.0000 (multiplicity 4)  6 Pd 2.83-3.00
Dy: 0.1543 0.0000 0.8662 (multiplicity 4)  3 Pd 2.86-2.93
Pd: 0.0619 0.5000 0.3039 (multiplicity 4)  5 Dy 2.91-3.01, 2 Pm 2.92-3.10, 3 Pd 3.05-3.18
Pd: 0.2438 0.2510 0.2229 (multiplicity 8)  5 Dy 2.83-3.05, 1 Pm 2.86

Properties
- ΔE_f: -673 meV/atom



No. 10
## Pu3Tl2HgO12 (PBE-GGA)

Data for a relaxed Pu3Tl2HgO12 crystal.

Unit cell a=7.9907 b=7.9907 c=18.1323 alpha=90.00 beta=90.00 gamma=120.00
With the nearest neighbours (Å) after each atom.
Space group R-3m (No. 166, hexagonal axes)
One atom of each set of equivalent atoms:
Pu: 0.0000 0.5000 0.0000 (multiplicity 9)  6 O 1.90-2.09
Tl: 0.0000 0.0000 0.1413 (multiplicity 6)  3 O 2.97
Hg: 0.0000 0.0000 0.5000 (multiplicity 3)  6 O 2.39
O: 0.0296 0.5148 0.1044 (multiplicity 18)  1 Pu 1.90
O: 0.0817 0.5409 0.3430 (multiplicity 18)  2 Pu 2.09

Properties
- Formation energy without anion corrections: -33.3 eV/f.u.



No. 11
## MgAlNi2 (PBE-GGA)

Data for a relaxed MgAlNi2 crystal.

Unit cell a=3.5762 b=3.5762 c=8.2215 alpha=90.00 beta=90.00 gamma=90.00
With the nearest neighbours (Å) after each atom.
Space group I-4m2 (No. 119)
One atom of each set of equivalent atoms:
Mg: 0.0000 0.0000 0.0000 (multiplicity 2)  8 Ni 2.53-2.72, 4 Al 2.72
Al: 0.0000 0.5000 0.2500 (multiplicity 2)  8 Ni 2.53-2.72, 4 Mg 2.72
Ni: 0.0000 0.0000 0.5000 (multiplicity 2)  4 Mg 2.53, 4 Al 2.72, 4 Ni 2.72
Ni: 0.0000 0.5000 0.7500 (multiplicity 2)  4 Al 2.53, 4 Ni 2.72, 4 Mg 2.72

Properties
- ΔE_f: -296 meV/atom



No. 12
## OsSeN (PBE-GGA)

Data for a relaxed OsSeN crystal.

Unit cell a=2.8931 b=3.1578 c=6.4090 alpha=87.58 beta=77.71 gamma=62.79
With the nearest neighbours (Å) after each atom.
Space group P1 (No. 1)
One atom of each set of equivalent atoms:
Os: 0.0000 0.0000 0.0000 (multiplicity 1)  3 N 1.96-2.00
Se: 0.5071 0.2835 0.6799 (multiplicity 1)  3 Os 2.63-2.75, 1 N 2.89, 2 Se 2.89
N: 0.2355 0.3955 0.1418 (multiplicity 1)  3 Os 1.96-2.00

Properties
- Energy above the lowest structure with this stoichiometry: 17.4 kJ per mole of atoms
- Formation energy without anion corrections: 1.7 eV/f.u.



No. 13
## LaTb2NdSe4 (PBE-GGA)

Data for a relaxed LaTb2NdSe4 crystal.

Unit cell a=7.1903 b=4.1230 c=7.3791 alpha=90.00 beta=108.75 gamma=90.00
With the nearest neighbours (Å) after each atom.
Space group P2/m (No. 10)
One atom of each set of equivalent atoms:
La: 0.0000 0.0000 0.0000 (multiplicity 1)  6 Se 3.03
Tb: 0.0000 0.5000 0.5000 (multiplicity 1)  6 Se 2.91
Tb: 0.5000 0.0000 0.5000 (multiplicity 1)  6 Se 2.89
Nd: 0.5000 0.5000 0.0000 (multiplicity 1)  6 Se 3.01-3.02
Se: 0.2469 0.0000 0.7358 (multiplicity 2)  3 Tb 2.89-2.91, 2 Nd 3.01, 1 La 3.03
Se: 0.2573 0.5000 0.2659 (multiplicity 2)  3 Tb 2.89-2.91, 1 Nd 3.02, 2 La 3.03

Properties
- Formation energy without anion corrections: -14.8 eV/f.u.



No. 14
## La4SiCBr2 (PBE-GGA)

Data for a relaxed La4SiCBr2 crystal.

Unit cell a=7.2015 b=4.1249 c=7.9874 alpha=90.00 beta=107.55 gamma=90.00
With the nearest neighbours (Å) after each atom.
Space group P2/m (No. 10)
One atom of each set of equivalent atoms:
La: 0.2083 0.0000 0.1898 (multiplicity 2)  2 C 2.73, 1 Si 2.94
La: 0.2383 0.5000 0.7994 (multiplicity 2)  1 C 2.68, 2 Si 2.92
Si: 0.5000 0.0000 0.0000 (multiplicity 1)  6 La 2.92-2.94
C: 0.0000 0.5000 0.0000 (multiplicity 1)  6 La 2.68-2.73
Br: 0.0000 0.0000 0.5000 (multiplicity 1)  6 La 3.23-3.26
Br: 0.5000 0.5000 0.5000 (multiplicity 1)  6 La 3.42-3.46

Properties
- Formation energy without anion corrections: -7.9 eV/f.u.



No. 15
## EuThZnAg (PBE-GGA)

Data for a relaxed EuThZnAg crystal.

Unit cell a=7.4631 b=7.4631 c=7.4631 alpha=90.00 beta=90.00 gamma=90.00
With the nearest neighbours (Å) after each atom.
Space group F-43m (No. 216)
One atom of each set of equivalent atoms:
Eu: 0.0000 0.0000 0.0000 (multiplicity 4)  4 Ag 3.23, 4 Zn 3.23
Th: 0.0000 0.0000 0.5000 (multiplicity 4)  4 Zn 3.23, 4 Ag 3.23
Zn: 0.2500 0.2500 0.2500 (multiplicity 4)  4 Eu 3.23, 4 Th 3.23
Ag: 0.2500 0.2500 0.7500 (multiplicity 4)  4 Th 3.23, 4 Eu 3.23

Properties
- ΔE_f: -120 meV/atom



No. 16
## AgIrPd (PBE-GGA)

Data for a relaxed AgIrPd crystal.

Unit cell a=8.5335 b=2.7402 c=9.3104 alpha=90.00 beta=114.91 gamma=90.00
With the nearest neighbours (Å) after each atom.
Space group C2/m (No. 12)
One atom of each set of equivalent atoms:
Ag: 0.0928 0.0000 0.4087 (multiplicity 4)  4 Pd 2.71-2.96, 5 Ag 2.74-2.85
Ir: 0.1024 0.5000 0.9258 (multiplicity 4)  5 Ir 2.64-2.74, 4 Pd 2.66-2.77
Pd: 0.2457 0.5000 0.2406 (multiplicity 4)  4 Ir 2.66-2.77, 4 Ag 2.71-2.96, 2 Pd 2.74

Properties
- Energy above the lowest structure with this stoichiometry: 8.8 kJ per mole of atoms
- ΔE_f: 286 meV/atom



No. 17
## Cr2PRu (PBE-GGA)

Data for a relaxed Cr2PRu crystal.

Unit cell a=3.6309 b=3.6309 c=7.5753 alpha=90.00 beta=90.00 gamma=90.00
With the nearest neighbours (Å) after each atom.
Space group I-4m2 (No. 119)
One atom of each set of equivalent atoms:
Cr: 0.0000 0.0000 0.0000 (multiplicity 2)  4 Ru 2.57, 4 Cr 2.62, 4 P 2.62
Cr: 0.0000 0.5000 0.2500 (multiplicity 2)  4 P 2.57, 4 Cr 2.62, 4 Ru 2.62
P: 0.0000 0.5000 0.7500 (multiplicity 2)  8 Cr 2.57-2.62, 4 Ru 2.62
Ru: 0.0000 0.0000 0.5000 (multiplicity 2)  8 Cr 2.57-2.62, 4 P 2.62

Properties
- ΔE_f: -111 meV/atom



No. 18
## Al2Fe2W (PBE-GGA)

Data for a relaxed Al2Fe2W crystal.

Unit cell a=6.7325 b=6.7325 c=2.8852 alpha=90.00 beta=90.00 gamma=90.00
With the nearest neighbours (Å) after each atom.
Space group P4/mbm (No. 127)
One atom of each set of equivalent atoms:
Al: 0.1482 0.3518 0.0000 (multiplicity 4)  6 Fe 2.41-2.47
Fe: 0.1487 0.6487 0.5000 (multiplicity 4)  6 Al 2.41-2.47, 2 W 2.57
W: 0.0000 0.0000 0.5000 (multiplicity 2)  4 Fe 2.57

Properties
- Energy above the lowest structure with this stoichiometry: 13.6 kJ per mole of atoms
- ΔE_f: 39 meV/atom



No. 19
## HoAgF5 (PBE-GGA)

Data for a relaxed HoAgF5 crystal.

Unit cell a=9.4341 b=7.0134 c=8.4285 alpha=90.00 beta=116.63 gamma=90.00
With the nearest neighbours (Å) after each atom.
Space group C2/c (No. 15)
One atom of each set of equivalent atoms:
Ho: 0.0000 0.0000 0.0000 (multiplicity 4)  6 F 2.16-2.17
Ag: 0.0000 0.4842 0.2500 (multiplicity 4)  2 F 2.06
F: 0.0000 0.0750 0.2500 (multiplicity 4)  2 Ho 2.17
F: 0.0144 0.3036 0.9680 (multiplicity 8)  1 Ho 2.16, 1 Ag 2.32
F: 0.2435 0.4723 0.3655 (multiplicity 8)  1 Ag 2.06, 1 Ho 2.17

Properties
- Formation energy without anion corrections: -19.3 eV/f.u.